# 1
Density functional theory data (PBE) for crystalline LaPmTiN3 at its relaxed geometry.

a b c (Å): 7.5384 3.6430 7.8008
angles (deg): 90.00 98.00 90.00
Space group P2_1/m (No. 11)
Unique sites:
La  0.1683  0.2500  0.1683
Pm  0.3718  0.7500  0.8329
Ti  0.0986  0.2500  0.5985
N  0.1082  0.2500  0.8464
N  0.1593  0.7500  0.5221
N  0.3943  0.7500  0.1343

Properties
The uncorrected energy is -8.371 eV per atom. Its density of states at the Fermi level is 5.019 states/eV/cell. As for the calculated volume: 17.68 A^3/atom. The calculated density is 5.85 g/cm3. The calculation puts the raw formation energy at -1279 meV/atom.

# 2
Density functional theory data (PBE) for crystalline Sm4Er9Cd11 at its relaxed geometry.

a b c (Å): 16.0677 22.6849 3.4959
angles (deg): 90.00 90.00 90.00
Space group Cmmm (No. 65)
Unique sites:
Sm  0.1674  0.0827  0.0000
Er  0.0000  0.0000  0.0000
Er  0.1101  0.4041  0.0000
Er  0.1143  0.2301  0.0000
Cd  0.0000  0.1306  0.5000
Cd  0.0000  0.3161  0.5000
Cd  0.0000  0.5000  0.5000
Cd  0.2038  0.5000  0.5000
Cd  0.2285  0.3178  0.5000

Properties
The energy of formation comes out at -5.5 eV/f.u. The uncorrected energy is -3.145 eV per atom. Its density of states at the Fermi level is 54.743 states/eV/cell. As for the calculated volume: 26.55 A^3/atom. The calculated density is 8.71 g/cm3.

# 3
Density functional theory data (PBE) for crystalline Pa2AlW at its relaxed geometry.

a b c (Å): 2.9901 2.9901 34.1733
angles (deg): 90.00 90.00 120.00
Space group R-3m (No. 166, hexagonal axes)
Unique sites:
Pa  0.0000  0.0000  0.0901
Al  0.0000  0.0000  0.0000
W  0.0000  0.0000  0.5000

Properties
The energy of formation comes out at 1.9 eV/f.u. The uncorrected energy is -8.444 eV per atom. Its density of states at the Fermi level is 19.313 states/eV/cell. The calculation puts the excess energy over the best structure of this formula in the dataset at 426 meV/atom. As for the calculated volume: 22.05 A^3/atom. The calculated density is 12.67 g/cm3.

# 4
Density functional theory data (PBE) for crystalline Pr3Al at its relaxed geometry.

a b c (Å): 4.9353 4.9353 4.9353
angles (deg): 90.00 90.00 90.00
Space group Pm-3m (No. 221)
Unique sites:
Pr  0.0000  0.0000  0.5000
Al  0.5000  0.5000  0.5000

Properties
The energy of formation comes out at -0.7 eV/f.u. The uncorrected energy is -4.684 eV per atom. Its density of states at the Fermi level is 5.784 states/eV/cell. The calculation puts the excess energy over the best structure of this formula in the dataset at 9 meV/atom. As for the calculated volume: 30.05 A^3/atom. The calculated density is 6.21 g/cm3.

# 5
Density functional theory data (PBE) for crystalline Ac2Zn3Ag17 at its relaxed geometry.

a b c (Å): 10.4520 10.4520 14.7999
angles (deg): 90.00 90.00 120.00
Space group R-3m (No. 166, hexagonal axes)
Unique sites:
Ac  0.0000  0.0000  0.1591
Zn  0.0000  0.5000  0.5000
Ag  0.0000  0.0000  0.3994
Ag  0.0000  0.2609  0.5000
Ag  0.0000  0.5000  0.0000
Ag  0.0107  0.5054  0.6726

Properties
The energy of formation comes out at 1.4 eV/f.u. The uncorrected energy is -2.687 eV per atom. Its density of states at the Fermi level is 24.284 states/eV/cell. As for the calculated volume: 21.22 A^3/atom. The calculated density is 8.84 g/cm3.

# 6
Density functional theory data (PBE) for crystalline MgCd2As2 at its relaxed geometry.

a b c (Å): 4.1766 4.1766 13.4296
angles (deg): 90.00 90.00 90.00
Space group I4/mmm (No. 139)
Unique sites:
Mg  0.0000  0.0000  0.0000
Cd  0.0000  0.5000  0.2500
As  0.0000  0.0000  0.3937

Properties
The energy of formation comes out at 0.2 eV/f.u. The uncorrected energy is -2.509 eV per atom. Its density of states at the Fermi level is 4.181 states/eV/cell. As for the calculated volume: 23.43 A^3/atom. The calculated density is 5.66 g/cm3.

# 7
Density functional theory data (PBE) for crystalline Ho3ScS4 at its relaxed geometry.

a b c (Å): 7.7290 10.8675 3.8152
angles (deg): 90.00 90.00 90.00
Space group Cmmm (No. 65)
Unique sites:
Ho  0.0000  0.0000  0.0000
Ho  0.2500  0.2500  0.5000
Sc  0.0000  0.5000  0.0000
S  0.0000  0.2546  0.0000
S  0.2408  0.5000  0.5000

Properties
The uncorrected energy is -6.508 eV per atom. Its density of states at the Fermi level is 9.977 states/eV/cell. The calculation puts the excess energy over the best structure of this formula in the dataset at 0 meV/atom. As for the calculated volume: 20.03 A^3/atom. The calculated density is 6.92 g/cm3. The calculation puts the raw formation energy at -1936 meV/atom.

# 8
Density functional theory data (PBE) for crystalline ScFeNi2B at its relaxed geometry.

a b c (Å): 3.8815 3.8815 3.8951
angles (deg): 90.00 90.00 90.00
Space group P4/mmm (No. 123)
Unique sites:
Sc  0.0000  0.0000  0.0000
Fe  0.5000  0.5000  0.0000
Ni  0.0000  0.5000  0.5000
B  0.5000  0.5000  0.5000

Properties
The energy of formation comes out at -1.9 eV/f.u. The uncorrected energy is -6.995 eV per atom. Its density of states at the Fermi level is 1.429 states/eV/cell. As for the calculated volume: 11.74 A^3/atom. The calculated density is 6.48 g/cm3.

# 9
Density functional theory data (PBE) for crystalline Ce4HgGe at its relaxed geometry.

a b c (Å): 7.8559 9.0779 5.1088
angles (deg): 90.00 129.77 90.00
Space group C2/m (No. 12)
Unique sites:
Ce  0.2499  0.1728  0.2334
Hg  0.0000  0.0000  0.5000
Ge  0.0000  0.5000  0.0000

Properties
The energy of formation comes out at -1.3 eV/f.u. The uncorrected energy is -4.993 eV per atom. Its density of states at the Fermi level is 30.058 states/eV/cell. The calculation puts the excess energy over the best structure of this formula in the dataset at 126 meV/atom. As for the calculated volume: 23.33 A^3/atom. The calculated density is 9.89 g/cm3.

# 10
Density functional theory data (PBE) for crystalline Zr5Fe3 at its relaxed geometry.

a b c (Å): 6.6054 9.1881 4.6237
angles (deg): 90.00 90.00 90.00
Space group Cmmm (No. 65)
Unique sites:
Zr  0.0000  0.0000  0.0000
Zr  0.2307  0.5000  0.5000
Zr  0.2500  0.2500  0.0000
Fe  0.0000  0.2444  0.5000
Fe  0.0000  0.5000  0.0000

Properties
The energy of formation comes out at 0.3 eV/f.u. The uncorrected energy is -8.483 eV per atom. Its density of states at the Fermi level is 19.956 states/eV/cell. The calculation puts the excess energy over the best structure of this formula in the dataset at 132 meV/atom. As for the calculated volume: 17.54 A^3/atom. The calculated density is 7.38 g/cm3.

# 11
Density functional theory data (PBE) for crystalline Cu3Ge2Pd4 at its relaxed geometry.

a b c (Å): 3.9776 4.4469 8.1751
angles (deg): 81.99 89.83 63.50
Space group P-1 (No. 2)
Unique sites:
Cu  0.0000  0.0000  0.0000
Cu  0.3396  0.3208  0.4659
Ge  0.3326  0.3365  0.7758
Pd  0.0053  0.9889  0.3252
Pd  0.3246  0.3508  0.1158

Properties
The energy of formation comes out at -2.6 eV/f.u. The uncorrected energy is -4.987 eV per atom. Its density of states at the Fermi level is 3.010 states/eV/cell. As for the calculated volume: 14.21 A^3/atom. The calculated density is 9.89 g/cm3.

# 12
Density functional theory data (PBE) for crystalline LiZrTe2 at its relaxed geometry.

a b c (Å): 3.6027 3.6027 7.4598
angles (deg): 90.00 90.00 90.00
Space group P4/mmm (No. 123)
Unique sites:
Li  0.0000  0.0000  0.0000
Zr  0.0000  0.0000  0.5000
Te  0.5000  0.5000  0.2676

Properties
The uncorrected energy is -4.949 eV per atom. Its density of states at the Fermi level is 2.424 states/eV/cell. As for the calculated volume: 24.21 A^3/atom. The calculated density is 6.06 g/cm3. The calculation puts the raw formation energy at -762 meV/atom.

# 13
Density functional theory data (PBE) for crystalline YNb2Ir2 at its relaxed geometry.

a b c (Å): 7.8336 7.8336 3.0432
angles (deg): 90.00 90.00 90.00
Space group P4/mbm (No. 127)
Unique sites:
Y  0.0000  0.0000  0.0000
Nb  0.1639  0.3361  0.5000
Ir  0.1288  0.6288  0.0000

Properties
The energy of formation comes out at -1.7 eV/f.u. The uncorrected energy is -9.213 eV per atom. Its density of states at the Fermi level is 12.363 states/eV/cell. The calculation puts the excess energy over the best structure of this formula in the dataset at 207 meV/atom. As for the calculated volume: 18.67 A^3/atom. The calculated density is 11.72 g/cm3.

# 14
Density functional theory data (PBE) for crystalline ErSF at its relaxed geometry.

a b c (Å): 6.1107 6.1107 6.1107
angles (deg): 90.00 90.00 90.00
Space group F-43m (No. 216)
Unique sites:
Er  0.0000  0.0000  0.0000
S  0.2500  0.2500  0.2500
F  0.2500  0.2500  0.7500

Properties
The uncorrected energy is -6.324 eV per atom. Its density of states at the Fermi level is 0.000 states/eV/cell. As for the calculated volume: 19.01 A^3/atom. The calculated density is 6.36 g/cm3. The calculation puts the raw formation energy at -2803 meV/atom.

# 15
Density functional theory data (PBE) for crystalline Ca2HgIrO6 at its relaxed geometry.

a b c (Å): 5.7547 5.7547 15.9263
angles (deg): 90.00 90.00 120.00
Space group R3 (No. 146, hexagonal axes)
Unique sites:
Ca  0.0000  0.0000  0.0000
Ca  0.0000  0.0000  0.4842
Hg  0.0000  0.0000  0.2613
Ir  0.0000  0.0000  0.6814
O  0.0191  0.7410  0.5985
O  0.0492  0.3762  0.4076

Properties
The uncorrected energy is -5.830 eV per atom. Its density of states at the Fermi level is 5.695 states/eV/cell. As for the calculated volume: 15.23 A^3/atom. The calculated density is 6.21 g/cm3. The calculation puts the raw formation energy at -1539 meV/atom.